Entry 1:
This record from Alexandria via LeMat-Bulk describes an optimized crystal structure of AuN. The functional is PBE-GGA.

Properties
polymorph energy (0 for the lowest one)	122.5	meV/atom
SG	No. 59

Cell lengths 4.029, 3.949, 10.838 Å; angles 90.00, 90.00, 90.00 degrees
Fractional positions:
1 Au 0.500 0.299 0.000
2 Au 0.000 0.701 0.500
3 Au 0.500 0.213 0.339
4 Au 0.000 0.787 0.161
5 Au 0.000 0.787 0.839
6 Au 0.500 0.213 0.661
7 N 0.500 0.506 0.500
8 N 0.000 0.047 0.330
9 N 0.500 0.953 0.170
10 N 0.000 0.494 0.000
11 N 0.000 0.047 0.670
12 N 0.500 0.953 0.830

***

Entry 2:
This record from Alexandria via LeMat-Bulk describes an optimized crystal structure of Fe2TeW. The functional is PBE-GGA.

Properties
DFT total energy	-7.7046	eV per atom
SG	No. 166

Cell lengths 7.974, 7.974, 7.974 Å; angles 22.19, 22.19, 22.19 degrees
Each line ends with the local moment (μB).
Fractional positions:
1 Fe 0.492 0.492 0.492  1.15
2 Fe 0.008 0.008 0.008  1.15
3 W 0.750 0.750 0.750  -0.35
4 Te 0.250 0.250 0.250  -0.04

***

Entry 3:
This record from Alexandria via LeMat-Bulk describes an optimized crystal structure of PmThGaNi. The functional is PBE-GGA.

Properties
DFT formation energy	-0.288	eV per atom
SG	No. 216

Cell lengths 5.091, 5.091, 5.091 Å; angles 60.00, 60.00, 60.00 degrees
Fractional positions:
1 Pm 0.500 0.500 0.500
2 Ga 0.750 0.750 0.750
3 Ni 0.250 0.250 0.250
4 Th 0.000 0.000 0.000

***

Entry 4:
This record from Alexandria via LeMat-Bulk describes an optimized crystal structure of PuTi2Tc. The functional is PBE-GGA.

Properties
polymorph energy (0 for the lowest one)	218.1	meV/atom
DFT formation energy	0.051	eV per atom
SG	No. 123

Cell lengths 3.154, 4.641, 4.641 Å; angles 90.00, 90.00, 90.00 degrees
Each line ends with the local moment (μB).
Fractional positions:
1 Ti 0.000 0.500 0.000  0.05
2 Ti 0.000 0.000 0.500  0.05
3 Pu 0.500 0.500 0.500  4.81
4 Tc 0.500 0.000 0.000  -0.25

***

Calculated mass density (g cm⁻³), listed in the same order as above: 12.2; 11.1; 9.0; 10.7